{"formula": "Sr3Ti2MnO8", "functional": "PBE with a Hubbard U", "state": "optimized geometry", "lattice": [[5.689, 0.000, 0.000], [-2.845, 4.927, 0.000], [0.000, 0.000, 7.219]], "species": ["Ti", "Ti", "O", "O", "O", "O", "O", "O", "O", "O", "Sr", "Sr", "Sr", "Mn"], "fractional_positions": [[0.333, 0.667, 0.209], [0.667, 0.333, 0.791], [0.670, 0.835, 0.317], [0.667, 0.333, 0.039], [0.165, 0.835, 0.317], [0.330, 0.165, 0.683], [0.333, 0.667, 0.961], [0.835, 0.165, 0.683], [0.165, 0.330, 0.317], [0.835, 0.670, 0.683], [0.000, 0.000, 0.000], [0.667, 0.333, 0.360], [0.333, 0.667, 0.640], [0.000, 0.000, 0.500]], "dos_ef_per_ev_cell": 0.0, "total_energy_ev_per_atom": -7.50}